YMnAs2: optimized geometry, GGA-PBEsol.

Summary:
calculated formation energy = -0.52 eV/atom
size of the total moment = 2.00 μB/cell
electronic total energy = -7.2234 eV per atom
crystal system = orthorhombic

Geometry as CIF:
```
data_YMnAs2
_chemical_formula_sum 'Y1 Mn1 As2'
_symmetry_space_group_name_H-M 'P 1'
_symmetry_Int_Tables_number 1
_cell_length_a 3.295
_cell_length_b 3.628
_cell_length_c 6.668
_cell_angle_alpha 105.78
_cell_angle_beta 104.31
_cell_angle_gamma 90.00
loop_
_symmetry_equiv_pos_as_xyz
'x,y,z'
loop_
_atom_site_label
_atom_site_fract_x
_atom_site_fract_y
_atom_site_fract_z
As1 0.024 0.024 0.049
As2 0.816 0.316 0.633
Mn1 0.458 0.458 0.916
Y1 0.201 0.701 0.403
```